# 1
# NpTiTe3 GGA-PBE relaxed
data_NpTiTe3
_space_group_name_H-M_alt 'P b c m'
_space_group_IT_number 57
_cell_length_a 12.0417
_cell_length_b 7.5244
_cell_length_c 6.1206
_cell_angle_alpha 90.00
_cell_angle_beta 90.00
_cell_angle_gamma 90.00
loop_
_space_group_symop_operation_xyz
'x,y,z'
'-x,-y,-z'
'-x,-y,z+1/2'
'x,y,-z+1/2'
'x,-y+1/2,-z'
'-x,y+1/2,z'
'-x,y+1/2,-z+1/2'
'x,-y+1/2,z+1/2'
loop_
_atom_site_label
_atom_site_fract_x
_atom_site_fract_y
_atom_site_fract_z
Np1 0.1641 0.0539 0.2500
Ti1 0.4186 0.2500 0.0000
Te1 0.0335 0.7500 0.0000
Te2 0.2552 0.0652 0.7500
Te3 0.4117 0.5799 0.7500
# Magnetization, μB/cell: 20.02
# Energy relative to the elements, uncorrected, meV per atom: -655
# Fermi-level density of states, states/eV per cell: 44.0

=====

# 2
# NpTi2Tl3Te6 GGA-PBE relaxed
data_NpTi2Tl3Te6
_space_group_name_H-M_alt 'C 1 2/m 1'
_space_group_IT_number 12
_cell_length_a 7.2410
_cell_length_b 12.5752
_cell_length_c 8.5826
_cell_angle_alpha 90.00
_cell_angle_beta 106.43
_cell_angle_gamma 90.00
loop_
_space_group_symop_operation_xyz
'x,y,z'
'-x,-y,-z'
'-x,y,-z'
'x,-y,z'
'x+1/2,y+1/2,z'
'-x+1/2,-y+1/2,-z'
'-x+1/2,y+1/2,-z'
'x+1/2,-y+1/2,z'
loop_
_atom_site_label
_atom_site_fract_x
_atom_site_fract_y
_atom_site_fract_z
Np1 0.0000 0.0000 0.0000
Ti1 0.0000 0.3266 0.0000
Tl1 0.0000 0.1550 0.5000
Tl2 0.0000 0.5000 0.5000
Te1 0.2056 0.5000 0.1931
Te2 0.2468 0.1769 0.2068
# Magnetization, μB/cell: 12.01
# Energy relative to the elements, uncorrected, meV per atom: -527
# Fermi-level density of states, states/eV per cell: 31.7

=====

# 3
# Np3TiTl3Te8 GGA-PBE relaxed
data_Np3TiTl3Te8
_space_group_name_H-M_alt 'R -3 m'
_space_group_IT_number 166
_space_group_name_Hall '-R 3 2"'
_cell_length_a 8.6239
_cell_length_b 8.6239
_cell_length_c 25.0869
_cell_angle_alpha 90.00
_cell_angle_beta 90.00
_cell_angle_gamma 120.00
loop_
_atom_site_label
_atom_site_fract_x
_atom_site_fract_y
_atom_site_fract_z
Np1 0.0000 0.5000 0.0000
Ti1 0.0000 0.0000 0.0000
Tl1 0.0000 0.5000 0.5000
Te1 0.0000 0.0000 0.2606
Te2 0.0220 0.5110 0.7344
# Magnetization, μB/cell: 36.00
# Energy relative to the elements, uncorrected, meV per atom: -562
# Fermi-level density of states, states/eV per cell: 94.9